Entry from the Open Quantum Materials Database: crystalline PrHfNp at its relaxed geometry (PBE).

Values from the calculation:
Energy of formation from the pure elements = 1.14 eV per atom
Theoretical density = 9.75 g/cm3

Cell lengths 5.118, 5.118, 5.118 Å; angles 60.00, 60.00, 60.00 degrees
Fractional coordinates of all 3 atoms:
Pr  0.000  0.000  0.000
Hf  0.750  0.750  0.750
Np  0.500  0.500  0.500

---

Entry from the Open Quantum Materials Database: crystalline HfNpPt at its relaxed geometry (PBE).

Values from the calculation:
Energy of formation from the pure elements = -0.09 eV per atom
Theoretical density = 14.78 g/cm3

Cell lengths 4.595, 4.595, 4.595 Å; angles 60.00, 60.00, 60.00 degrees
Fractional coordinates of all 3 atoms:
Hf  0.000  0.000  0.000
Np  0.500  0.500  0.500
Pt  0.250  0.250  0.250

---

What did the first record say?
Entry from the Open Quantum Materials Database: crystalline PrHfNp at its relaxed geometry (PBE).

Values from the calculation:
Energy of formation from the pure elements = 1.14 eV per atom
Theoretical density = 9.75 g/cm3

Cell lengths 5.118, 5.118, 5.118 Å; angles 60.00, 60.00, 60.00 degrees
Fractional coordinates of all 3 atoms:
Pr  0.000  0.000  0.000
Hf  0.750  0.750  0.750
Np  0.500  0.500  0.500